1.
The following is a GGA-PBE calculation of a relaxed structure of CsLi2Ca, from the Alexandria database.

Lattice parameters (Å, degrees): 6.2940 6.2940 6.2940 60.00 60.00 60.00
Last column: nearest neighbours and their distance in Å.
Fractional coordinates of all 4 atoms:
Cs (0.0000, 0.0000, 0.0000)  8 Li 3.85
Li (0.2500, 0.2500, 0.2500)  4 Ca 3.85, 4 Cs 3.85
Li (0.7500, 0.7500, 0.7500)  4 Ca 3.85, 4 Cs 3.85
Ca (0.5000, 0.5000, 0.5000)  8 Li 3.85

Its formation energy is 271 meV per atom. Its magnetization is 0.0 μB/f.u. The energy above the most stable polymorph in this dataset comes out at 124.3 meV per atom. The space group is Fm-3m.

2.
The following is a GGA-PBE calculation of a relaxed structure of Mg2HgAs, from the Alexandria database.

Lattice parameters (Å, degrees): 8.7515 8.7515 8.7515 145.32 145.32 49.85
Last column: nearest neighbours and their distance in Å.
Fractional coordinates of all 8 atoms:
Mg (0.0898, 0.6250, 0.9648)  2 As 2.63, 2 Hg 2.80
Mg (0.3750, 0.3398, 0.4648)  2 As 2.63, 2 Hg 2.80
Mg (0.6602, 0.1250, 0.0352)  2 As 2.63, 2 Hg 2.80
Mg (0.8750, 0.9102, 0.5352)  2 As 2.63, 2 Hg 2.80
Hg (0.2500, 0.7500, 0.5000)  4 Mg 2.80
Hg (0.5000, 0.5000, 0.0000)  4 Mg 2.80
As (0.0000, 0.0000, 0.0000)  4 Mg 2.63
As (0.7500, 0.2500, 0.5000)  4 Mg 2.63

Its formation energy is -126 meV per atom. Its magnetization is 0.0 μB/f.u. The energy above the most stable polymorph in this dataset comes out at 242.3 meV per atom. The space group is I-42d.

3.
The following is a GGA-PBE calculation of a relaxed structure of Zr2Pt, from the Alexandria database.

Lattice parameters (Å, degrees): 3.3156 3.3156 6.6418 90.00 90.00 120.00
Last column: nearest neighbours and their distance in Å.
Fractional coordinates of all 3 atoms:
Zr (0.3333, 0.6667, 0.3127)  3 Pt 2.82, 3 Zr 3.14
Zr (0.6667, 0.3333, 0.6873)  3 Pt 2.82, 3 Zr 3.14
Pt (0.0000, 0.0000, 0.0000)  6 Zr 2.82

Its formation energy is -430 meV per atom. Its magnetization is 0.0 μB/f.u. The space group is P-3m1.

4.
The following is a GGA-PBE calculation of a relaxed structure of Li2TlCrN, from the Alexandria database.

Lattice parameters (Å, degrees): 4.3587 4.3587 3.7373 90.00 90.00 90.00
Last column: nearest neighbours and their distance in Å.
Fractional coordinates of all 5 atoms:
Li (0.0000, 0.5000, 0.0000)  2 N 2.18
Li (0.5000, 0.0000, 0.0000)  2 N 2.18
Tl (0.0000, 0.0000, 0.5000)  8 Li 2.87, 4 Cr 3.08
Cr (0.5000, 0.5000, 0.5000)  2 N 1.87
N (0.5000, 0.5000, 0.0000)  2 Cr 1.87

For the formation energy (no corrections), the calculation gives -239 meV per atom. Its magnetization is 2.5 μB/f.u. The space group is P4/mmm.

5.
The following is a GGA-PBE calculation of a relaxed structure of BaVRu3, from the Alexandria database.

Lattice parameters (Å, degrees): 4.6697 4.6697 4.6697 90.00 90.00 90.00
Last column: nearest neighbours and their distance in Å.
Fractional coordinates of all 5 atoms:
Ba (0.0000, 0.0000, 0.0000)  12 Ru 3.30
V (0.5000, 0.5000, 0.5000)  6 Ru 2.33
Ru (0.0000, 0.5000, 0.5000)  2 V 2.33
Ru (0.5000, 0.0000, 0.5000)  2 V 2.33
Ru (0.5000, 0.5000, 0.0000)  2 V 2.33

Its formation energy is 765 meV per atom. Its magnetization is 0.0 μB/f.u. The energy above the most stable polymorph in this dataset comes out at 0.0 meV per atom. The space group is Pm-3m.

6.
The following is a GGA-PBE calculation of a relaxed structure of GaNi3, from the Alexandria database.

Lattice parameters (Å, degrees): 5.0957 5.0957 4.0866 90.00 90.00 120.00
Last column: nearest neighbours and their distance in Å.
Fractional coordinates of all 8 atoms:
Ga (0.3333, 0.6667, 0.2500)  12 Ni 2.53-2.55
Ga (0.6667, 0.3333, 0.7500)  12 Ni 2.53-2.55
Ni (0.1643, 0.3285, 0.7500)  8 Ni 2.51-2.58, 4 Ga 2.53-2.55
Ni (0.1643, 0.8357, 0.7500)  8 Ni 2.51-2.58, 4 Ga 2.53-2.55
Ni (0.3285, 0.1643, 0.2500)  8 Ni 2.51-2.58, 4 Ga 2.53-2.55
Ni (0.6715, 0.8357, 0.7500)  8 Ni 2.51-2.58, 4 Ga 2.53-2.55
Ni (0.8357, 0.1643, 0.2500)  8 Ni 2.51-2.58, 4 Ga 2.53-2.55
Ni (0.8357, 0.6715, 0.2500)  8 Ni 2.51-2.58, 4 Ga 2.53-2.55

Its formation energy is -282 meV per atom. Its magnetization is 0.0 μB/f.u. The space group is P6_3/mmc.